Zr4TcRh | PBE | optimized geometry

**Energy above the most stable polymorph in this dataset**: 0 meV per atom
**M_tot**: 0.00 Bohr magnetons per cell
**Energy of formation**: -408 meV/atom

Geometry as extended XYZ:
```
6
Lattice="3.3400 0.0000 0.0000 0.0000 3.3400 0.0000 0.0000 0.0000 10.4774" Properties=species:S:1:pos:R:3 pbc="T T T"
Zr 0.0000 0.0000 1.5887
Zr 0.0000 0.0000 8.8887
Zr 1.6700 1.6700 3.6314
Zr 1.6700 1.6700 6.8460
Tc 1.6700 1.6700 0.0000
Rh 0.0000 0.0000 5.2387
```